Density functional theory data (PBE) for a geometry-optimized PmGa4Ni2Pd structure.

Computed properties:
DFT formation energy = -0.50 eV per atom
raw total energy = -4.706 eV/atom
SG = No. 166
size of the total moment = 0.000 μB per atom

Structure (POSCAR):
```
PmGa4Ni2Pd
1.0
-3.153 -1.567 2.221
-0.188 -4.090 0.749
3.577 -0.734 8.461
Ga Pm Ni Pd
4 1 2 1
Cartesian
-1.263 -3.535 3.516
1.792 -1.172 5.619
1.499 -2.856 7.915
-1.556 -5.219 5.812
0.000 0.000 0.000
0.331 -1.531 3.291
-0.095 -4.860 8.140
0.118 -3.196 5.715
```